A plane-wave DFT calculation with PBE was carried out for a relaxed K2RuPt crystal.

* energy of formation: 0.76 eV per atom
* magnetization: 0.13 μB/f.u.
* Fermi-level density of states: 0.65 states/eV per atom

Lattice parameters (Å, degrees): 2.9035 2.9035 33.3377 90.00 90.00 120.00
With the nearest neighbours (Å) after each atom.
Space group R-3m (No. 166, hexagonal axes)
Asymmetric unit:
K 0.0000 0.0000 0.2487  6 K 2.90, 3 Pt 3.21
Ru 0.0000 0.0000 0.0000  6 Ru 2.90
Pt 0.0000 0.0000 0.5000  6 Pt 2.90, 6 K 3.21